Entry 1:
DFT (PBE) results for an optimized crystal structure of Rb2Sn2Hg3Se8.

Its energy is -0.114 Ha/atom.

Unit cell a=7.094 b=8.254 c=9.519 alpha=107.98 beta=92.65 gamma=109.29
Positions (direct):
Rb 0.122 0.460 0.250
Rb 0.878 0.540 0.750
Sn 0.250 0.170 0.760
Sn 0.750 0.830 0.240
Hg 0.345 0.079 0.374
Hg 0.500 0.000 0.000
Hg 0.655 0.921 0.626
Se 0.084 0.829 0.147
Se 0.255 0.852 0.623
Se 0.348 0.368 0.595
Se 0.498 0.691 0.989
Se 0.502 0.309 0.011
Se 0.652 0.632 0.405
Se 0.745 0.148 0.377
Se 0.916 0.171 0.853



Entry 2:
DFT (PBE) results for an optimized crystal structure of KAgAsAu.

The offset from the most stable computed form comes out at 0 meV per atom.

Unit cell a=4.978 b=4.978 c=4.978 alpha=60.00 beta=60.00 gamma=60.00
Positions (direct):
K 0.000 0.000 0.000
Ag 0.750 0.750 0.750
As 0.250 0.250 0.250
Au 0.500 0.500 0.500



Entry 3:
DFT (PBE) results for an optimized crystal structure of SiTcAs.

The offset from the most stable computed form comes out at 0 meV per atom. The calculation puts the magnetization at 0.001 μB/cell.

Unit cell a=4.703 b=4.703 c=7.622 alpha=117.21 beta=117.21 gamma=38.99
Positions (direct):
Si 0.000 0.000 0.000
Si 0.551 0.551 0.644
Tc 0.305 0.305 0.736
Tc 0.995 0.995 0.331
As 0.290 0.290 0.064
As 0.756 0.756 0.434



Entry 4:
DFT (PBE) results for an optimized crystal structure of NdYB.

The offset from the most stable computed form comes out at 49 meV per atom. The calculation puts the magnetization at 0.191 μB/cell.

Unit cell a=6.914 b=6.914 c=6.914 alpha=152.57 beta=152.57 gamma=39.18
Positions (direct):
Nd 0.000 0.000 0.000
Y 0.756 0.756 0.000
B 0.372 0.372 0.000



Entry 5:
DFT (PBE) results for an optimized crystal structure of YCuNiGe.

The offset from the most stable computed form comes out at 0 meV per atom. The calculation puts the magnetization at 0.001 μB/cell.

Unit cell a=4.501 b=4.501 c=4.501 alpha=60.00 beta=60.00 gamma=60.00
Positions (direct):
Y 0.000 0.000 0.000
Cu 0.750 0.750 0.750
Ni 0.250 0.250 0.250
Ge 0.500 0.500 0.500



Entry 6:
DFT (PBE) results for an optimized crystal structure of HoHfZr.

The offset from the most stable computed form comes out at 0 meV per atom. As for the energy relative to the elements: 0.90 eV per atom. The calculation puts the magnetization at 1.475 μB/cell.

Unit cell a=4.969 b=4.969 c=4.969 alpha=60.00 beta=60.00 gamma=60.00
Positions (direct):
Ho 0.000 0.000 0.000
Hf 0.500 0.500 0.500
Zr 0.750 0.750 0.750